1.
La4Ni | PBE | optimized geometry

Output
- Energy of formation from the pure elements: 0.14 eV per atom
- V: 346 Å³/cell
- Calculated total energy: -4.96 eV per atom
- Spin magnetization: 0.000 μB per atom
- Space-group type: Fd-3m (227)
- Energy above the most stable polymorph in this dataset: 0.224 eV per atom

Lattice parameters (Å, degrees): 7.8808 7.8808 7.8808 60.00 60.00 60.00
Last column: nearest neighbours and their distance in Å.
Element x y z (fractional)
La  0.2170  0.7610  0.7610  1 Ni 2.63
La  0.2390  0.2390  0.2390  1 Ni 2.63
La  0.2390  0.2390  0.7830  1 Ni 2.63
La  0.2390  0.7830  0.2390  1 Ni 2.63
La  0.7610  0.2170  0.7610  1 Ni 2.63
La  0.7610  0.7610  0.2170  1 Ni 2.63
La  0.7610  0.7610  0.7610  1 Ni 2.63
La  0.7830  0.2390  0.2390  1 Ni 2.63
Ni  0.3750  0.3750  0.3750  4 La 2.63
Ni  0.6250  0.6250  0.6250  4 La 2.63

2.
La3Ni | PBE | optimized geometry

Output
- Energy of formation from the pure elements: -0.10 eV per atom
- V: 120 Å³/cell
- Calculated total energy: -5.24 eV per atom
- Spin magnetization: 0.000 μB per atom
- Space-group type: Cmmm (65)

Lattice parameters (Å, degrees): 3.6136 3.6136 9.1981 90.00 90.00 90.19
Last column: nearest neighbours and their distance in Å.
Element x y z (fractional)
La  0.0000  0.0000  0.0000  12 La 3.61-3.90
La  0.5000  0.5000  0.3201  4 Ni 3.04-3.05, 1 La 3.31
La  0.5000  0.5000  0.6799  4 Ni 3.04-3.05, 1 La 3.31
Ni  0.0000  0.0000  0.5000  8 La 3.04-3.05

3.
La3Ni | PBE | optimized geometry

Output
- Energy of formation from the pure elements: 0.18 eV per atom
- V: 105 Å³/cell
- Calculated total energy: -4.96 eV per atom
- Spin magnetization: 0.000 μB per atom
- Space-group type: Fm-3m (225)

Lattice parameters (Å, degrees): 5.2980 5.2980 5.2980 60.00 60.00 60.00
Last column: nearest neighbours and their distance in Å.
Element x y z (fractional)
La  0.0000  0.0000  0.0000  8 La 3.24
La  0.2500  0.2500  0.2500  4 La 3.24, 4 Ni 3.24
La  0.7500  0.7500  0.7500  4 La 3.24, 4 Ni 3.24
Ni  0.5000  0.5000  0.5000  8 La 3.24

4.
La5Ni | PBE | optimized geometry

Output
- Energy of formation from the pure elements: 0.05 eV per atom
- V: 191 Å³/cell
- Calculated total energy: -5.02 eV per atom
- Spin magnetization: 0.000 μB per atom
- Space-group type: Amm2 (38)
- Energy above the most stable polymorph in this dataset: 0.117 eV per atom

Lattice parameters (Å, degrees): 5.9575 8.8202 8.8202 24.38 90.00 90.00
Last column: nearest neighbours and their distance in Å.
Element x y z (fractional)
La  0.0000  0.0000  0.0000  2 Ni 2.93
La  0.0000  0.2585  0.2585  2 Ni 2.88
La  0.5000  0.0926  0.0926  6 La 3.20-3.56, 4 Ni 3.58
La  0.5000  0.4167  0.4167  10 La 3.52-3.80
La  0.5000  0.7432  0.7432  8 La 3.20-3.52, 2 Ni 3.55
Ni  0.0000  0.6314  0.6314  4 La 2.88-2.93

5.
La3Ni2 | PBE | optimized geometry

Output
- Energy of formation from the pure elements: -0.17 eV per atom
- V: 132 Å³/cell
- Calculated total energy: -5.44 eV per atom
- Spin magnetization: 0.000 μB per atom
- Space-group type: P-3m1 (164)
- Energy above the most stable polymorph in this dataset: 0.089 eV per atom

Lattice parameters (Å, degrees): 4.6313 4.6313 7.0968 90.00 90.00 120.00
Last column: nearest neighbours and their distance in Å.
Element x y z (fractional)
La  0.0000  0.0000  0.0000  6 Ni 2.96
La  0.3333  0.6667  0.3323  3 Ni 2.89
La  0.6667  0.3333  0.6677  3 Ni 2.89
Ni  0.3333  0.6667  0.8226  6 La 2.89-2.96
Ni  0.6667  0.3333  0.1774  6 La 2.89-2.96

6.
La5Ni3 | PBE | optimized geometry

Output
- Energy of formation from the pure elements: -0.23 eV per atom
- V: 832 Å³/cell
- Calculated total energy: -5.48 eV per atom
- Spin magnetization: 0.000 μB per atom
- Space-group type: P4/ncc (130)
- Energy above the most stable polymorph in this dataset: 0.000 eV per atom

Lattice parameters (Å, degrees): 7.9563 7.9563 13.1478 90.00 90.00 90.00
Last column: nearest neighbours and their distance in Å.
Element x y z (fractional)
La  0.0576  0.6166  0.1108  4 Ni 2.81-3.12
La  0.0576  0.8834  0.6108  4 Ni 2.81-3.12
La  0.1166  0.5576  0.3892  4 Ni 2.81-3.12
La  0.1166  0.9424  0.8892  4 Ni 2.81-3.12
La  0.2500  0.2500  0.1921  1 Ni 2.80
La  0.2500  0.2500  0.6921  1 Ni 2.80
La  0.3834  0.5576  0.8892  4 Ni 2.81-3.12
La  0.3834  0.9424  0.3892  4 Ni 2.81-3.12
La  0.4424  0.6166  0.6108  4 Ni 2.81-3.12
La  0.4424  0.8834  0.1108  4 Ni 2.81-3.12
La  0.5576  0.1166  0.8892  4 Ni 2.81-3.12
La  0.5576  0.3834  0.3892  4 Ni 2.81-3.12
La  0.6166  0.0576  0.6108  4 Ni 2.81-3.12
La  0.6166  0.4424  0.1108  4 Ni 2.81-3.12
La  0.7500  0.7500  0.3079  1 Ni 2.80
La  0.7500  0.7500  0.8079  1 Ni 2.80
La  0.8834  0.0576  0.1108  4 Ni 2.81-3.12
La  0.8834  0.4424  0.6108  4 Ni 2.81-3.12
La  0.9424  0.1166  0.3892  4 Ni 2.81-3.12
La  0.9424  0.3834  0.8892  4 Ni 2.81-3.12
Ni  0.1242  0.6242  0.7500  6 La 2.81-3.12, 1 Ni 2.83
Ni  0.1242  0.8758  0.2500  6 La 2.81-3.12, 1 Ni 2.83
Ni  0.2500  0.2500  0.4790  5 La 2.80-2.92
Ni  0.2500  0.2500  0.9790  5 La 2.80-2.92
Ni  0.3758  0.6242  0.2500  6 La 2.81-3.12, 1 Ni 2.83
Ni  0.3758  0.8758  0.7500  6 La 2.81-3.12, 1 Ni 2.83
Ni  0.6242  0.1242  0.2500  6 La 2.81-3.12, 1 Ni 2.83
Ni  0.6242  0.3758  0.7500  6 La 2.81-3.12, 1 Ni 2.83
Ni  0.7500  0.7500  0.0210  5 La 2.80-2.92
Ni  0.7500  0.7500  0.5210  5 La 2.80-2.92
Ni  0.8758  0.1242  0.7500  6 La 2.81-3.12, 1 Ni 2.83
Ni  0.8758  0.3758  0.2500  6 La 2.81-3.12, 1 Ni 2.83

7.
La3Ni | PBE | optimized geometry

Output
- Energy of formation from the pure elements: -0.07 eV per atom
- V: 252 Å³/cell
- Calculated total energy: -5.21 eV per atom
- Spin magnetization: 0.000 μB per atom
- Space-group type: Pmmn (59)

Lattice parameters (Å, degrees): 3.7972 7.0815 9.3812 90.00 90.00 90.00
Last column: nearest neighbours and their distance in Å.
Element x y z (fractional)
La  0.2500  0.0161  0.1640  2 Ni 2.93
La  0.2500  0.2500  0.5375  2 Ni 2.77
La  0.2500  0.4839  0.1640  2 Ni 2.93
La  0.7500  0.5161  0.8360  2 Ni 2.93
La  0.7500  0.7500  0.4625  2 Ni 2.77
La  0.7500  0.9839  0.8360  2 Ni 2.93
Ni  0.2500  0.7500  0.6772  6 La 2.77-2.93
Ni  0.7500  0.2500  0.3228  6 La 2.77-2.93

8.
La7Ni16 | PBE | optimized geometry

Output
- Energy of formation from the pure elements: -0.35 eV per atom
- V: 389 Å³/cell
- Calculated total energy: -5.87 eV per atom
- Spin magnetization: 0.000 μB per atom
- Space-group type: I-42m (121)

Lattice parameters (Å, degrees): 8.9011 8.9011 8.9011 131.32 131.32 71.31
Last column: nearest neighbours and their distance in Å.
Element x y z (fractional)
La  0.0000  0.0000  0.0000  12 Ni 2.95-2.99
La  0.2006  0.2006  0.6071  6 Ni 2.82-2.85
La  0.2500  0.7500  0.5000  12 Ni 2.93-3.08
La  0.4066  0.7994  0.0000  6 Ni 2.82-2.85
La  0.5934  0.5934  0.3929  6 Ni 2.82-2.85
La  0.7500  0.2500  0.5000  12 Ni 2.93-3.08
La  0.7994  0.4066  0.0000  6 Ni 2.82-2.85
Ni  0.0513  0.5662  0.7489  6 Ni 2.52-2.71, 1 La 2.82
Ni  0.0673  0.0673  0.7635  6 Ni 2.45-2.53
Ni  0.1624  0.4404  0.0000  5 Ni 2.53-2.63
Ni  0.1827  0.4338  0.4851  6 Ni 2.52-2.71, 1 La 2.82
Ni  0.3024  0.8173  0.2511  6 Ni 2.52-2.71, 1 La 2.82
Ni  0.3038  0.3038  0.2365  6 Ni 2.45-2.53
Ni  0.4338  0.1827  0.4851  6 Ni 2.52-2.71, 1 La 2.82
Ni  0.4404  0.1624  0.0000  5 Ni 2.53-2.63
Ni  0.5596  0.5596  0.7220  5 Ni 2.53-2.63
Ni  0.5662  0.0513  0.7489  6 Ni 2.52-2.71, 1 La 2.82
Ni  0.6962  0.9327  0.0000  6 Ni 2.45-2.53
Ni  0.6976  0.9487  0.5149  6 Ni 2.52-2.71, 1 La 2.82
Ni  0.8173  0.3024  0.2511  6 Ni 2.52-2.71, 1 La 2.82
Ni  0.8376  0.8376  0.2780  5 Ni 2.53-2.63
Ni  0.9327  0.6962  0.0000  6 Ni 2.45-2.53
Ni  0.9487  0.6976  0.5149  6 Ni 2.52-2.71, 1 La 2.82

9.
La7Ni | PBE | optimized geometry

Output
- Energy of formation from the pure elements: 0.14 eV per atom
- V: 258 Å³/cell
- Calculated total energy: -4.89 eV per atom
- Spin magnetization: 0.001 μB per atom
- Space-group type: Fm-3m (225)

Lattice parameters (Å, degrees): 7.1442 7.1442 7.1442 60.00 60.00 60.00
Last column: nearest neighbours and their distance in Å.
Element x y z (fractional)
La  0.0000  0.0000  0.0000  12 La 3.57
La  0.0000  0.0000  0.5000  10 La 3.57, 2 Ni 3.57
La  0.0000  0.5000  0.0000  10 La 3.57, 2 Ni 3.57
La  0.0000  0.5000  0.5000  10 La 3.57, 2 Ni 3.57
La  0.5000  0.0000  0.0000  10 La 3.57, 2 Ni 3.57
La  0.5000  0.0000  0.5000  10 La 3.57, 2 Ni 3.57
La  0.5000  0.5000  0.0000  10 La 3.57, 2 Ni 3.57
Ni  0.5000  0.5000  0.5000  12 La 3.57

10.
La5Ni6 | PBE | optimized geometry

Output
- Energy of formation from the pure elements: -0.33 eV per atom
- V: 242 Å³/cell
- Calculated total energy: -5.72 eV per atom
- Spin magnetization: 0.000 μB per atom
- Space-group type: Cmmm (65)

Lattice parameters (Å, degrees): 14.6826 14.6826 3.9328 90.00 90.00 163.41
Last column: nearest neighbours and their distance in Å.
Element x y z (fractional)
La  0.0000  0.0000  0.0000  12 Ni 3.12-3.22
La  0.1986  0.8014  0.5000  7 Ni 2.97-3.22
La  0.3888  0.6112  0.0000  6 Ni 2.84-2.97
La  0.6112  0.3888  0.0000  6 Ni 2.84-2.97
La  0.8014  0.1986  0.5000  7 Ni 2.97-3.22
Ni  0.0878  0.9122  0.5000  2 Ni 2.52
Ni  0.2775  0.7225  0.0000  2 Ni 2.65
Ni  0.4592  0.5408  0.5000  3 Ni 2.37-2.52
Ni  0.5408  0.4592  0.5000  3 Ni 2.37-2.52
Ni  0.7225  0.2775  0.0000  2 Ni 2.65
Ni  0.9122  0.0878  0.5000  2 Ni 2.52

11.
La5Ni | PBE | optimized geometry

Output
- Energy of formation from the pure elements: -0.06 eV per atom
- V: 389 Å³/cell
- Calculated total energy: -5.13 eV per atom
- Spin magnetization: 0.000 μB per atom
- Space-group type: P2_1/m (11)
- Energy above the most stable polymorph in this dataset: 0.006 eV per atom

Lattice parameters (Å, degrees): 3.7530 10.6752 9.8779 90.00 100.78 90.00
Last column: nearest neighbours and their distance in Å.
Element x y z (fractional)
La  0.0000  0.0000  0.0000  8 La 3.48-3.75
La  0.0000  0.5000  0.0000  8 La 3.48-3.75
La  0.1871  0.0649  0.3719  2 Ni 2.94
La  0.1871  0.4351  0.3719  2 Ni 2.94
La  0.3581  0.2500  0.7193  2 Ni 2.95
La  0.4360  0.7500  0.8739  1 Ni 3.48, 10 La 3.48-3.75
La  0.5640  0.2500  0.1261  1 Ni 3.48, 10 La 3.48-3.75
La  0.6419  0.7500  0.2807  2 Ni 2.95
La  0.8129  0.5649  0.6281  2 Ni 2.94
La  0.8129  0.9351  0.6281  2 Ni 2.94
Ni  0.2579  0.7500  0.5153  6 La 2.94-2.95
Ni  0.7421  0.2500  0.4847  6 La 2.94-2.95

12.
La3Ni | PBE | optimized geometry

Output
- Energy of formation from the pure elements: 0.16 eV per atom
- V: 223 Å³/cell
- Calculated total energy: -4.98 eV per atom
- Spin magnetization: 0.000 μB per atom
- Space-group type: I4/mmm (139)

Lattice parameters (Å, degrees): 11.2951 11.2951 11.2951 156.80 156.80 33.04
Last column: nearest neighbours and their distance in Å.
Element x y z (fractional)
La  0.0000  0.5000  0.5000  8 La 3.21-3.58, 4 Ni 3.53
La  0.1277  0.1277  0.0000  4 Ni 3.21, 8 La 3.49-3.58
La  0.2500  0.7500  0.5000  8 La 3.21-3.49, 4 Ni 3.54
La  0.5000  0.0000  0.5000  8 La 3.21-3.58, 4 Ni 3.53
La  0.7500  0.2500  0.5000  8 La 3.21-3.49, 4 Ni 3.54
La  0.8723  0.8723  0.0000  4 Ni 3.21, 8 La 3.49-3.58
Ni  0.3752  0.3752  0.0000  12 La 3.21-3.54
Ni  0.6248  0.6248  0.0000  12 La 3.21-3.54